(1)
GGA-PBE MnAs2Pb, optimized geometry; ΔE to the lowest computed polymorph = 415 meV/atom; ΔH_f (0 K) = 369 meV/atom; E = -0.19020 Ha/atom
1.0
-2.0772 2.0772 4.9882
2.0772 -2.0772 4.9882
2.0772 2.0772 -4.9882
Mn As Pb
1 2 1
Direct
0.0000 0.0000 0.0000 Mn
0.5000 0.5000 0.0000 As
0.7500 0.2500 0.5000 As
0.2500 0.7500 0.5000 Pb

=====

(2)
GGA-PBE MnAsPb2, optimized geometry; ΔE to the lowest computed polymorph = 371 meV/atom; ΔH_f (0 K) = 452 meV/atom; E = -0.17851 Ha/atom
1.0
0.0000 3.6748 3.6748
3.6748 0.0000 3.6748
3.6748 3.6748 0.0000
Mn As Pb
1 1 2
Direct
0.0000 0.0000 0.0000 Mn
0.2500 0.2500 0.2500 As
0.5000 0.5000 0.5000 Pb
0.7500 0.7500 0.7500 Pb

=====

(3)
GGA-PBE MnAs2Pb2, optimized geometry; ΔH_f (0 K) = 170 meV/atom; E = -0.18399 Ha/atom
1.0
6.3145 0.0000 0.0000
0.0000 6.3145 0.0000
0.0000 0.0000 5.5111
Mn As Pb
2 4 4
Direct
0.0000 0.0000 0.0000 Mn
0.5000 0.5000 0.0000 Mn
0.1490 0.3510 0.0000 As
0.3510 0.8510 0.0000 As
0.6490 0.1490 0.0000 As
0.8510 0.6490 0.0000 As
0.1879 0.6879 0.5000 Pb
0.3121 0.1879 0.5000 Pb
0.6879 0.8121 0.5000 Pb
0.8121 0.3121 0.5000 Pb

=====

(4)
GGA-PBE MnAs2Pb, optimized geometry; ΔE to the lowest computed polymorph = 119 meV/atom; ΔH_f (0 K) = 73 meV/atom; E = -0.20107 Ha/atom
1.0
4.2940 0.0000 0.0000
0.0000 3.8223 0.0000
-1.9463 0.0000 5.4275
Mn As Pb
1 2 1
Direct
0.0000 0.0000 0.0000 Mn
0.2383 0.5000 0.8171 As
0.7617 0.5000 0.1829 As
0.5000 0.0000 0.5000 Pb

=====

(5)
GGA-PBE Mn2AsPb, optimized geometry; ΔE to the lowest computed polymorph = 189 meV/atom; ΔH_f (0 K) = 339 meV/atom; E = -0.23281 Ha/atom
1.0
-1.9939 1.9939 4.7616
1.9939 -1.9939 4.7616
1.9939 1.9939 -4.7616
Mn As Pb
2 1 1
Direct
0.0000 0.0000 0.0000 Mn
0.7500 0.2500 0.5000 Mn
0.5000 0.5000 0.0000 As
0.2500 0.7500 0.5000 Pb

=====

(6)
GGA-PBE Mn2AsPb, optimized geometry; ΔE to the lowest computed polymorph = 68 meV/atom; ΔH_f (0 K) = 219 meV/atom; E = -0.23724 Ha/atom
1.0
3.2119 0.0000 0.0000
0.0000 3.1833 0.0000
-1.1560 0.0000 7.0986
Mn As Pb
2 1 1
Direct
0.0552 0.0000 0.1841 Mn
0.9448 0.0000 0.8159 Mn
0.5000 0.5000 0.0000 As
0.5000 0.5000 0.5000 Pb

=====

(7)
GGA-PBE MnAsPb2, optimized geometry; ΔE to the lowest computed polymorph = 4 meV/atom; ΔH_f (0 K) = 85 meV/atom; E = -0.19198 Ha/atom
1.0
3.3431 0.0000 0.0000
0.0000 3.3431 0.0000
0.0000 0.0000 8.4915
Mn As Pb
1 1 2
Direct
0.0000 0.0000 0.0000 Mn
0.5000 0.5000 0.8942 As
0.0000 0.0000 0.6090 Pb
0.5000 0.5000 0.2625 Pb

=====

(8)
GGA-PBE MnAsPb2, optimized geometry; ΔE to the lowest computed polymorph = 370 meV/atom; ΔH_f (0 K) = 451 meV/atom; E = -0.17854 Ha/atom
1.0
0.0000 3.6664 3.6664
3.6664 0.0000 3.6664
3.6664 3.6664 0.0000
Mn As Pb
1 1 2
Direct
0.0000 0.0000 0.0000 Mn
0.5000 0.5000 0.5000 As
0.2500 0.2500 0.2500 Pb
0.7500 0.7500 0.7500 Pb

=====

(9)
GGA-PBE MnAsPb2, optimized geometry; ΔE to the lowest computed polymorph = 297 meV/atom; ΔH_f (0 K) = 377 meV/atom; E = -0.18123 Ha/atom
1.0
3.8934 0.0000 0.0000
0.0000 3.8934 0.0000
0.0000 0.0000 6.3568
Mn As Pb
1 1 2
Direct
0.0000 0.0000 0.0000 Mn
0.0000 0.0000 0.5000 As
0.5000 0.5000 0.2479 Pb
0.5000 0.5000 0.7521 Pb

=====

(10)
GGA-PBE Mn2AsPb, optimized geometry; ΔE to the lowest computed polymorph = 199 meV/atom; ΔH_f (0 K) = 350 meV/atom; E = -0.23243 Ha/atom
1.0
-3.6307 3.6307 3.0930
3.6307 -3.6307 3.0930
3.6307 3.6307 -3.0930
Mn As Pb
4 2 2
Direct
0.0837 0.6250 0.9587 Mn
0.3750 0.3337 0.4587 Mn
0.6663 0.1250 0.0413 Mn
0.8750 0.9163 0.5413 Mn
0.0000 0.0000 0.0000 As
0.7500 0.2500 0.5000 As
0.2500 0.7500 0.5000 Pb
0.5000 0.5000 0.0000 Pb

=====

(11)
GGA-PBE MnAs2Pb, optimized geometry; ΔE to the lowest computed polymorph = 260 meV/atom; ΔH_f (0 K) = 213 meV/atom; E = -0.19590 Ha/atom
1.0
-2.9811 2.9811 5.7779
2.9811 -2.9811 5.7779
2.9811 2.9811 -5.7779
Mn As Pb
2 4 2
Direct
0.0000 0.0000 0.0000 Mn
0.7500 0.2500 0.5000 Mn
0.0291 0.6250 0.9041 As
0.3750 0.2791 0.4041 As
0.7209 0.1250 0.0959 As
0.8750 0.9709 0.5959 As
0.2500 0.7500 0.5000 Pb
0.5000 0.5000 0.0000 Pb

=====

(12)
GGA-PBE Mn2AsPb, optimized geometry; ΔE to the lowest computed polymorph = 217 meV/atom; ΔH_f (0 K) = 368 meV/atom; E = -0.23176 Ha/atom
1.0
3.1191 -3.7156 0.0000
3.1191 3.7156 0.0000
-0.6321 0.0000 3.2620
Mn As Pb
2 1 1
Direct
0.0000 0.5000 0.0000 Mn
0.5000 0.0000 0.0000 Mn
0.0000 0.0000 0.5000 As
0.5000 0.5000 0.5000 Pb

=====

(13)
GGA-PBE MnAs2Pb, optimized geometry; ΔE to the lowest computed polymorph = 124 meV/atom; ΔH_f (0 K) = 77 meV/atom; E = -0.20090 Ha/atom
1.0
-1.7469 1.8524 6.7681
1.7469 -1.8524 6.7681
1.7469 1.8524 -6.7681
Mn As Pb
1 2 1
Direct
0.0000 0.0000 0.0000 Mn
0.5448 0.5448 0.0000 As
0.8680 0.3680 0.5000 As
0.2319 0.7319 0.5000 Pb

=====

(14)
GGA-PBE Mn2AsPb, optimized geometry; ΔE to the lowest computed polymorph = 200 meV/atom; ΔH_f (0 K) = 351 meV/atom; E = -0.23237 Ha/atom
1.0
3.7984 0.0000 0.0000
0.0000 3.9947 0.0000
0.0000 0.0000 4.9663
Mn As Pb
2 1 1
Direct
0.0000 0.0000 0.0000 Mn
0.0000 0.5000 0.5000 Mn
0.5000 0.0000 0.5000 As
0.5000 0.5000 0.0000 Pb

=====

(15)
GGA-PBE MnAsPb2, optimized geometry; ΔE to the lowest computed polymorph = 433 meV/atom; ΔH_f (0 K) = 514 meV/atom; E = -0.17622 Ha/atom
1.0
-3.3084 3.3084 6.0899
3.3084 -3.3084 6.0899
3.3084 3.3084 -6.0899
Mn As Pb
2 2 4
Direct
0.0000 0.0000 0.0000 Mn
0.7500 0.2500 0.5000 Mn
0.2500 0.7500 0.5000 As
0.5000 0.5000 0.0000 As
0.1224 0.6250 0.9974 Pb
0.3750 0.3724 0.4974 Pb
0.6276 0.1250 0.0026 Pb
0.8750 0.8776 0.5026 Pb

=====

(16)
GGA-PBE Mn2AsPb, optimized geometry; ΔE to the lowest computed polymorph = 32 meV/atom; ΔH_f (0 K) = 183 meV/atom; E = -0.23854 Ha/atom
1.0
3.3757 0.0000 0.0000
0.0000 3.4358 0.0000
-1.6854 0.0000 6.7118
Mn As Pb
2 1 1
Direct
0.0000 0.0000 0.0000 Mn
0.1617 0.5000 0.3240 Mn
0.5315 0.5000 0.0638 As
0.7902 0.0000 0.5843 Pb

=====

(17)
GGA-PBE Mn2AsPb, optimized geometry; ΔE to the lowest computed polymorph = 0 meV/atom; ΔH_f (0 K) = 151 meV/atom; E = -0.23973 Ha/atom
1.0
3.2549 0.0000 0.0000
0.0000 3.2549 0.0000
0.0000 0.0000 7.1987
Mn As Pb
2 1 1
Direct
0.0000 0.0000 0.0000 Mn
0.5000 0.5000 0.2022 Mn
0.5000 0.5000 0.8540 As
0.0000 0.0000 0.4536 Pb

=====

(18)
GGA-PBE MnAs2Pb, optimized geometry; ΔE to the lowest computed polymorph = 375 meV/atom; ΔH_f (0 K) = 329 meV/atom; E = -0.19167 Ha/atom
1.0
2.9026 -3.8788 0.0000
2.9026 3.8788 0.0000
0.0000 0.0000 3.8668
Mn As Pb
1 2 1
Direct
0.0000 0.0000 0.0000 Mn
0.0000 0.5000 0.5000 As
0.5000 0.0000 0.5000 As
0.5000 0.5000 0.0000 Pb

=====

(19)
GGA-PBE MnAsPb2, optimized geometry; ΔE to the lowest computed polymorph = 49 meV/atom; ΔH_f (0 K) = 129 meV/atom; E = -0.19035 Ha/atom
1.0
4.3522 0.0000 0.0000
0.0000 4.0418 0.0000
-2.1759 0.0000 5.5300
Mn As Pb
1 1 2
Direct
0.0000 0.0000 0.0000 Mn
0.1420 0.5000 0.2810 As
0.4216 0.5000 0.8407 Pb
0.7248 0.0000 0.4489 Pb

=====

(20)
GGA-PBE Mn2AsPb, optimized geometry; ΔE to the lowest computed polymorph = 23 meV/atom; ΔH_f (0 K) = 174 meV/atom; E = -0.23887 Ha/atom
1.0
3.1469 -1.8184 0.0000
3.1469 1.8184 0.0000
-2.1134 0.0000 7.0001
Mn As Pb
2 1 1
Direct
0.2327 0.2327 0.1978 Mn
0.7673 0.7673 0.8022 Mn
0.5000 0.5000 0.0000 As
0.0000 0.0000 0.5000 Pb